Cu2PPb | GGA-PBEsol | optimized geometry

abc: 3.2035 3.6235 6.0101
angles: 90.00 99.07 90.00
Space group Pm (No. 6)
Inequivalent atoms, fractional coordinates:
Cu: 0.0000 0.0000 0.0000 x1
Cu: 0.0726 0.5000 0.2942 x1
P: 0.5760 0.0000 0.2901 x1
Pb: 0.4575 0.5000 0.7403 x1

Results
energy	-4.459	eV/atom
spin magnetization	0.00	μB/f.u.
formation energy from the elements	0.155	eV per atom